Entry 1:
# Na2PdS meta-GGA SCAN single point on PBEsol structure
data_Na2PdS
_space_group_name_H-M_alt 'I -4 2 d'
_space_group_IT_number 122
_space_group_name_Hall 'I -4 2bw'
_cell_length_a 3.9632
_cell_length_b 3.9632
_cell_length_c 18.8550
_cell_angle_alpha 90.00
_cell_angle_beta 90.00
_cell_angle_gamma 90.00
loop_
_atom_site_label
_atom_site_type_symbol
_atom_site_fract_x
_atom_site_fract_y
_atom_site_fract_z
Na1 Na 0.2356 0.2500 0.1250
Pd1 Pd 0.0000 0.0000 0.5000
S1 S 0.0000 0.0000 0.0000
# - crystal system = tetragonal
# - uncorrected energy (eV/atom) = -12.915

***

Entry 2:
# Sr2LiHf meta-GGA SCAN single point on PBEsol structure
data_Sr2LiHf
_space_group_name_H-M_alt 'F m -3 m'
_space_group_IT_number 225
_space_group_name_Hall '-F 4 2 3'
_cell_length_a 8.0552
_cell_length_b 8.0552
_cell_length_c 8.0552
_cell_angle_alpha 90.00
_cell_angle_beta 90.00
_cell_angle_gamma 90.00
loop_
_atom_site_label
_atom_site_type_symbol
_atom_site_fract_x
_atom_site_fract_y
_atom_site_fract_z
Sr1 Sr 0.2500 0.2500 0.2500
Li1 Li 0.0000 0.0000 0.0000
Hf1 Hf 0.0000 0.0000 0.5000
# - ΔH_f (0 K) (kJ/mol of atoms) = 66.3
# - crystal system = cubic
# - uncorrected energy (eV/atom) = -26.716

***

Entry 3:
# SrCdH3 meta-GGA SCAN single point on PBEsol structure
data_SrCdH3
_space_group_name_H-M_alt 'P m -3 m'
_space_group_IT_number 221
_space_group_name_Hall '-P 4 2 3'
_cell_length_a 4.0656
_cell_length_b 4.0656
_cell_length_c 4.0656
_cell_angle_alpha 90.00
_cell_angle_beta 90.00
_cell_angle_gamma 90.00
loop_
_atom_site_label
_atom_site_type_symbol
_atom_site_fract_x
_atom_site_fract_y
_atom_site_fract_z
Sr1 Sr 0.0000 0.0000 0.0000
Cd1 Cd 0.5000 0.5000 0.5000
H1 H 0.0000 0.5000 0.5000
# - crystal system = cubic
# - uncorrected energy (eV/atom) = -12.696

***

Entry 4:
# MgSc3 meta-GGA SCAN single point on PBEsol structure
data_MgSc3
_space_group_name_H-M_alt 'R -3 m'
_space_group_IT_number 166
_space_group_name_Hall '-R 3 2"'
_cell_length_a 10.3468
_cell_length_b 10.3468
_cell_length_c 3.0100
_cell_angle_alpha 90.00
_cell_angle_beta 90.00
_cell_angle_gamma 120.00
loop_
_atom_site_label
_atom_site_type_symbol
_atom_site_fract_x
_atom_site_fract_y
_atom_site_fract_z
Mg1 Mg 0.0000 0.0000 0.0000
Sc1 Sc 0.0000 0.5000 0.0000
# - ΔH_f (0 K) (kJ/mol of atoms) = 8.0
# - crystal system = trigonal
# - uncorrected energy (eV/atom) = -11.839

***

Entry 5:
# K2BeNi meta-GGA SCAN single point on PBEsol structure
data_K2BeNi
_space_group_name_H-M_alt 'R -3 m'
_space_group_IT_number 166
_space_group_name_Hall '-R 3 2"'
_cell_length_a 3.0487
_cell_length_b 3.0487
_cell_length_c 32.1052
_cell_angle_alpha 90.00
_cell_angle_beta 90.00
_cell_angle_gamma 120.00
loop_
_atom_site_label
_atom_site_type_symbol
_atom_site_fract_x
_atom_site_fract_y
_atom_site_fract_z
K1 K 0.0000 0.0000 0.2439
Be1 Be 0.0000 0.0000 0.0000
Ni1 Ni 0.0000 0.0000 0.5000
# - ΔH_f (0 K) (kJ/mol of atoms) = 119.6
# - crystal system = trigonal
# - uncorrected energy (eV/atom) = -8.056

***

Entry 6:
# TeIr3S meta-GGA SCAN single point on PBEsol structure
data_TeIr3S
_space_group_name_H-M_alt 'P m -3 m'
_space_group_IT_number 221
_space_group_name_Hall '-P 4 2 3'
_cell_length_a 4.4430
_cell_length_b 4.4430
_cell_length_c 4.4430
_cell_angle_alpha 90.00
_cell_angle_beta 90.00
_cell_angle_gamma 90.00
loop_
_atom_site_label
_atom_site_type_symbol
_atom_site_fract_x
_atom_site_fract_y
_atom_site_fract_z
Te1 Te 0.0000 0.0000 0.0000
Ir1 Ir 0.0000 0.5000 0.5000
S1 S 0.5000 0.5000 0.5000
# - crystal system = cubic
# - uncorrected energy (eV/atom) = -50.970

***

| no. | mass density (Mg/m³) |
| --- | --- |
| 1 | 4.1 |
| 2 | 4.6 |
| 3 | 5.0 |
| 4 | 2.8 |
| 5 | 2.8 |
| 6 | 13.9 |